[1]
VASP calculation (PBE) on a relaxed structure of La4CdHgAu2.

Properties
The raw total energy is -4.011 eV per atom. The calculation puts the mass density at 9.2 Mg/m³. The value obtained for the formation energy is -0.575 eV/atom.

Cell lengths 9.5035, 9.5035, 9.5035 Å; angles 33.18, 33.18, 33.18 degrees
Fractional positions:
La  0.1230  0.1230  0.1230
La  0.3740  0.3740  0.3740
La  0.6260  0.6260  0.6260
La  0.8770  0.8770  0.8770
Cd  0.5000  0.5000  0.5000
Hg  0.0000  0.0000  0.0000
Au  0.2436  0.2436  0.2436
Au  0.7564  0.7564  0.7564


[2]
VASP calculation (PBE) on a relaxed structure of YTlIr2.

Properties
As for the excess energy over the best structure of this formula in the dataset: 0.2431 eV per atom. The raw total energy is -6.652 eV per atom. The calculation puts the mass density at 14.5 Mg/m³. The value obtained for the formation energy is -0.014 eV/atom.

Cell lengths 3.1762, 4.2810, 5.7057 Å; angles 90.00, 90.00, 90.00 degrees
Fractional positions:
Y  0.0000  0.0000  0.0000
Tl  0.5000  0.5000  0.6863
Ir  0.0000  0.0000  0.4879
Ir  0.5000  0.5000  0.2022


[3]
VASP calculation (PBE) on a relaxed structure of CaTeC.

Properties
As for the excess energy over the best structure of this formula in the dataset: 0.0553 eV per atom. The raw total energy is -5.189 eV per atom. The calculation puts the mass density at 3.7 Mg/m³. For the raw formation energy, the calculation gives -399.8 meV/atom.

Cell lengths 4.2000, 4.2000, 9.1365 Å; angles 90.20, 90.20, 84.78 degrees
Fractional positions:
Ca  0.0000  0.0000  0.0000
Ca  0.6256  0.6256  0.5547
Te  0.1125  0.1125  0.6702
Te  0.2712  0.2712  0.3025
C  0.4546  0.4546  0.1111
C  0.5944  0.5944  0.0111


[4]
VASP calculation (PBE) on a relaxed structure of Na2IrOsO.

Properties
The raw total energy is -4.196 eV per atom. The calculation puts the mass density at 5.1 Mg/m³. For the raw formation energy, the calculation gives 1341.4 meV/atom.

Cell lengths 5.5884, 5.5884, 4.6169 Å; angles 90.00, 90.00, 90.00 degrees
Fractional positions:
Na  0.0000  0.5000  0.0000
Na  0.5000  0.0000  0.0000
Ir  0.0000  0.0000  0.0000
Os  0.0000  0.0000  0.5000
O  0.5000  0.5000  0.5000


[5]
VASP calculation (PBE) on a relaxed structure of GdYAgSb.

Properties
The raw total energy is -7.473 eV per atom. The calculation puts the mass density at 7.7 Mg/m³. For the raw formation energy, the calculation gives -593.0 meV/atom.

Cell lengths 5.2587, 5.2587, 5.2587 Å; angles 60.00, 60.00, 60.00 degrees
Fractional positions:
Gd  0.0000  0.0000  0.0000
Y  0.5000  0.5000  0.5000
Ag  0.2500  0.2500  0.2500
Sb  0.7500  0.7500  0.7500


[6]
VASP calculation (PBE) on a relaxed structure of CeTl3Se4.

Properties
As for the excess energy over the best structure of this formula in the dataset: 0.0000 eV per atom. The raw total energy is -4.201 eV per atom. The calculation puts the mass density at 7.2 Mg/m³. For the raw formation energy, the calculation gives -829.5 meV/atom.

Cell lengths 7.8864, 8.9040, 7.3779 Å; angles 90.00, 107.51, 90.00 degrees
Fractional positions:
Ce  0.0000  0.1270  0.2500
Ce  0.0000  0.8730  0.7500
Tl  0.0000  0.3816  0.7500
Tl  0.0000  0.6184  0.2500
Tl  0.5000  0.1277  0.7500
Tl  0.5000  0.3799  0.2500
Tl  0.5000  0.6201  0.7500
Tl  0.5000  0.8723  0.2500
Se  0.2108  0.1033  0.9960
Se  0.2108  0.8967  0.4960
Se  0.2262  0.3567  0.4781
Se  0.2262  0.6433  0.9781
Se  0.7738  0.3567  0.0219
Se  0.7738  0.6433  0.5219
Se  0.7892  0.1033  0.5040
Se  0.7892  0.8967  0.0040


[7]
VASP calculation (PBE) on a relaxed structure of SmMg2Ga3.

Properties
The raw total energy is -3.159 eV per atom. The calculation puts the mass density at 5.4 Mg/m³. The value obtained for the formation energy is -0.327 eV/atom.

Cell lengths 4.7800, 4.7800, 6.3333 Å; angles 90.00, 90.00, 120.00 degrees
Fractional positions:
Sm  0.0000  0.0000  0.0000
Mg  0.3333  0.6667  0.6813
Mg  0.6667  0.3333  0.3187
Ga  0.0000  0.0000  0.5000
Ga  0.3333  0.6667  0.2087
Ga  0.6667  0.3333  0.7913


[8]
VASP calculation (PBE) on a relaxed structure of Tb2Ce2In3.

Properties
The raw total energy is -4.532 eV per atom. The calculation puts the mass density at 8.4 Mg/m³. The value obtained for the formation energy is -0.340 eV/atom.

Cell lengths 12.2721, 12.2721, 3.4109 Å; angles 90.00, 90.00, 158.80 degrees
Fractional positions:
Tb  0.0721  0.9279  0.0000
Tb  0.9279  0.0721  0.0000
Ce  0.2152  0.7848  0.0000
Ce  0.7848  0.2152  0.0000
In  0.3568  0.6432  0.5000
In  0.5000  0.5000  0.5000
In  0.6432  0.3568  0.5000